(one)
An optimized crystal structure of Pt2BrCl. Source: Alexandria via LeMat-Bulk, functional PBE.

Summary:
The density of states at the Fermi level comes out at 6.4 states/eV/f.u. Its crystal system is cubic. The calculation puts the density at 11.5 g cm⁻³.

abc: 6.6370 6.6370 6.6370
angles: 90.00 90.00 90.00
Closest atoms and distances in Å follow each position.
Space group F-43m (No. 216)
Symmetry-distinct sites (fractional):
Pt: 0.0000 0.0000 0.0000 [4 per cell]  4 Br 2.87, 4 Pt 2.87
Pt: 0.2500 0.2500 0.2500 [4 per cell]  4 Cl 2.87, 4 Pt 2.87
Br: 0.2500 0.2500 0.7500 [4 per cell]  4 Cl 2.87, 4 Pt 2.87
Cl: 0.0000 0.0000 0.5000 [4 per cell]  4 Br 2.87, 4 Pt 2.87



(two)
An optimized crystal structure of Pt2BrCl. Source: Alexandria via LeMat-Bulk, functional PBE.

Summary:
The density of states at the Fermi level comes out at 3.5 states/eV/f.u. Its crystal system is tetragonal. The calculation puts the density at 10.9 g cm⁻³.

abc: 6.9414 6.9414 6.3883
angles: 90.00 90.00 90.00
Closest atoms and distances in Å follow each position.
Space group I-42d (No. 122)
Symmetry-distinct sites (fractional):
Pt: 0.2436 0.2500 0.1250 [8 per cell]  2 Cl 2.55, 2 Br 2.61
Br: 0.0000 0.0000 0.5000 [4 per cell]  4 Pt 2.61
Cl: 0.0000 0.0000 0.0000 [4 per cell]  4 Pt 2.55



(three)
An optimized crystal structure of Pt2BrCl. Source: Alexandria via LeMat-Bulk, functional PBE.

Summary:
The density of states at the Fermi level comes out at 4.3 states/eV/f.u. Its crystal system is tetragonal. The calculation puts the density at 9.9 g cm⁻³.

abc: 3.1956 3.1956 8.3119
angles: 90.00 90.00 90.00
Closest atoms and distances in Å follow each position.
Space group P4mm (No. 99)
Symmetry-distinct sites (fractional):
Pt: 0.0000 0.0000 0.0000 [1 per cell]  4 Pt 2.74, 4 Cl 2.78
Pt: 0.5000 0.5000 0.1872 [1 per cell]  4 Pt 2.74, 4 Br 2.86
Br: 0.0000 0.0000 0.3989 [1 per cell]  4 Pt 2.86, 4 Br 3.20
Cl: 0.5000 0.5000 0.8052 [1 per cell]  4 Pt 2.78



(four)
An optimized crystal structure of Pt2BrCl. Source: Alexandria via LeMat-Bulk, functional PBE.

Summary:
The density of states at the Fermi level comes out at 2.5 states/eV/f.u. Its crystal system is monoclinic. The calculation puts the density at 11.2 g cm⁻³.

abc: 7.6433 3.6010 5.6697
angles: 90.00 106.64 90.00
Closest atoms and distances in Å follow each position.
Space group C2/m (No. 12)
Symmetry-distinct sites (fractional):
Pt: 0.2440 0.0000 0.2656 [4 per cell]  3 Cl 2.58-2.71, 3 Br 2.72-2.79
Br: 0.0000 0.5000 0.0000 [2 per cell]  6 Pt 2.72-2.79
Cl: 0.0000 0.0000 0.5000 [2 per cell]  6 Pt 2.58-2.71



What are the relative energies? In kJ/mol of atoms: (one) 42.1; (two) 21.8; (three) 0.0; (four) 20.0.



(one)
An optimized crystal structure of Pt2BrCl. Source: Alexandria via LeMat-Bulk, functional PBE.

Summary:
The density of states at the Fermi level comes out at 8.1 states/eV/f.u. Its crystal system is orthorhombic. The calculation puts the density at 9.4 g cm⁻³.

abc: 3.7886 5.4718 8.5862
angles: 90.00 90.00 90.00
Closest atoms and distances in Å follow each position.
Space group Cmm2 (No. 35)
Symmetry-distinct sites (fractional):
Pt: 0.0000 0.0000 0.0000 [2 per cell]  2 Cl 2.49, 2 Pt 2.55
Pt: 0.0000 0.5000 0.1981 [2 per cell]  2 Pt 2.55, 2 Br 2.59
Br: 0.0000 0.0000 0.4046 [2 per cell]  2 Pt 2.59
Cl: 0.0000 0.5000 0.8121 [2 per cell]  2 Pt 2.49



(two)
An optimized crystal structure of Pt2BrCl. Source: Alexandria via LeMat-Bulk, functional PBE.

Summary:
The density of states at the Fermi level comes out at 1.4 states/eV/f.u. Its crystal system is orthorhombic. The calculation puts the density at 10.5 g cm⁻³.

abc: 3.7100 5.3646 8.0118
angles: 90.00 90.00 90.00
Closest atoms and distances in Å follow each position.
Space group Amm2 (No. 38)
Symmetry-distinct sites (fractional):
Pt: 0.0000 0.0000 0.0000 [2 per cell]  2 Cl 2.54, 2 Pt 2.61, 2 Br 2.71
Pt: 0.5000 0.0000 0.2295 [2 per cell]  2 Br 2.59, 2 Pt 2.61, 2 Cl 2.72
Br: 0.0000 0.0000 0.4544 [2 per cell]  4 Pt 2.59-2.71
Cl: 0.5000 0.0000 0.7830 [2 per cell]  4 Pt 2.54-2.72



(three)
An optimized crystal structure of Pt2BrCl. Source: Alexandria via LeMat-Bulk, functional PBE.

Summary:
The density of states at the Fermi level comes out at 3.4 states/eV/f.u. Its crystal system is orthorhombic. The calculation puts the density at 11.0 g cm⁻³.

abc: 3.0311 4.2329 5.9361
angles: 90.00 90.00 90.00
Closest atoms and distances in Å follow each position.
Space group Pmmm (No. 47)
Symmetry-distinct sites (fractional):
Pt: 0.0000 0.0000 0.0000 [1 per cell]  4 Cl 2.60
Pt: 0.5000 0.0000 0.5000 [1 per cell]  4 Br 2.60
Br: 0.0000 0.5000 0.5000 [1 per cell]  4 Pt 2.60
Cl: 0.5000 0.5000 0.0000 [1 per cell]  4 Pt 2.60



What are the relative energies? In kJ/mol of atoms: (one) 9.2; (two) 0.0; (three) 37.7.



(one)
An optimized crystal structure of Pt2BrCl. Source: Alexandria via LeMat-Bulk, functional PBE.

Summary:
The density of states at the Fermi level comes out at 2.9 states/eV/f.u. Its crystal system is trigonal. The calculation puts the density at 11.2 g cm⁻³.

abc: 3.4288 3.4288 22.1310
angles: 90.00 90.00 120.00
Closest atoms and distances in Å follow each position.
Space group R-3m (No. 166, hexagonal axes)
Symmetry-distinct sites (fractional):
Pt: 0.0000 0.0000 0.2490 [6 per cell]  3 Br 2.69, 3 Cl 2.72
Br: 0.0000 0.0000 0.5000 [3 per cell]  6 Pt 2.69
Cl: 0.0000 0.0000 0.0000 [3 per cell]  6 Pt 2.72



(two)
An optimized crystal structure of Pt2BrCl. Source: Alexandria via LeMat-Bulk, functional PBE.

Summary:
The density of states at the Fermi level comes out at 3.2 states/eV/f.u. Its crystal system is orthorhombic. The calculation puts the density at 11.0 g cm⁻³.

abc: 3.0499 5.9760 8.3831
angles: 90.00 90.00 90.00
Closest atoms and distances in Å follow each position.
Space group Immm (No. 71)
Symmetry-distinct sites (fractional):
Pt: 0.0000 0.0000 0.2463 [4 per cell]  2 Cl 2.57, 2 Br 2.62
Br: 0.0000 0.5000 0.0000 [2 per cell]  4 Pt 2.62
Cl: 0.0000 0.5000 0.5000 [2 per cell]  4 Pt 2.57



(three)
An optimized crystal structure of Pt2BrCl. Source: Alexandria via LeMat-Bulk, functional PBE.

Summary:
Its crystal system is trigonal. The calculation puts the density at 9.1 g cm⁻³.

abc: 3.7010 3.7010 23.2344
angles: 90.00 90.00 120.00
Closest atoms and distances in Å follow each position.
Space group R3m (No. 160, hexagonal axes)
Symmetry-distinct sites (fractional):
Pt: 0.0000 0.0000 0.0000 [3 per cell]  3 Br 2.59, 3 Pt 2.60
Pt: 0.0000 0.0000 0.2699 [3 per cell]  3 Cl 2.51, 3 Pt 2.60
Br: 0.0000 0.0000 0.7294 [3 per cell]  3 Pt 2.59
Cl: 0.0000 0.0000 0.5466 [3 per cell]  3 Pt 2.51



What are the relative energies? In kJ/mol of atoms: (one) 79.1; (two) 71.8; (three) 0.0.



(one)
An optimized crystal structure of Pt2BrCl. Source: Alexandria via LeMat-Bulk, functional PBE.

Summary:
The density of states at the Fermi level comes out at 3.5 states/eV/f.u. Its crystal system is orthorhombic. The calculation puts the density at 10.9 g cm⁻³.

abc: 3.0311 6.0153 8.4131
angles: 90.00 90.00 90.00
Closest atoms and distances in Å follow each position.
Space group Cmmm (No. 65)
Symmetry-distinct sites (fractional):
Pt: 0.0000 0.0000 0.2449 [4 per cell]  2 Cl 2.56, 2 Br 2.63
Br: 0.0000 0.5000 0.5000 [2 per cell]  4 Pt 2.63
Cl: 0.0000 0.5000 0.0000 [2 per cell]  4 Pt 2.56



(two)
An optimized crystal structure of Pt2BrCl. Source: Alexandria via LeMat-Bulk, functional PBE.

Summary:
The density of states at the Fermi level comes out at 2.7 states/eV/f.u. Its crystal system is monoclinic. The calculation puts the density at 9.4 g cm⁻³.

abc: 4.8259 3.7541 4.9243
angles: 90.00 91.08 90.00
Closest atoms and distances in Å follow each position.
Space group P2/m (No. 10)
Symmetry-distinct sites (fractional):
Pt: 0.2028 0.0000 0.3124 [2 per cell]  2 Cl 2.53, 2 Br 2.61, 1 Pt 2.72
Br: 0.0000 0.5000 0.0000 [1 per cell]  4 Pt 2.61
Cl: 0.5000 0.5000 0.5000 [1 per cell]  4 Pt 2.53



(three)
An optimized crystal structure of Pt2BrCl. Source: Alexandria via LeMat-Bulk, functional PBE.

Summary:
The density of states at the Fermi level comes out at 3.5 states/eV/f.u. Its crystal system is orthorhombic. The calculation puts the density at 11.6 g cm⁻³.

abc: 3.3128 3.3229 6.5978
angles: 90.00 90.00 90.00
Closest atoms and distances in Å follow each position.
Space group Pmmm (No. 47)
Symmetry-distinct sites (fractional):
Pt: 0.0000 0.0000 0.2379 [2 per cell]  4 Br 2.82, 4 Cl 2.91, 1 Pt 3.14
Br: 0.5000 0.5000 0.0000 [1 per cell]  8 Pt 2.82
Cl: 0.5000 0.5000 0.5000 [1 per cell]  8 Pt 2.91



(four)
An optimized crystal structure of Pt2BrCl. Source: Alexandria via LeMat-Bulk, functional PBE.

Summary:
The density of states at the Fermi level comes out at 7.2 states/eV/f.u. Its crystal system is tetragonal. The calculation puts the density at 10.9 g cm⁻³.

abc: 5.5046 5.5046 5.0727
angles: 90.00 90.00 90.00
Closest atoms and distances in Å follow each position.
Space group I-4m2 (No. 119)
Symmetry-distinct sites (fractional):
Pt: 0.0000 0.0000 0.0000 [2 per cell]  2 Br 2.54
Pt: 0.0000 0.5000 0.2500 [2 per cell]  2 Cl 2.54
Br: 0.0000 0.0000 0.5000 [2 per cell]  2 Pt 2.54
Cl: 0.0000 0.5000 0.7500 [2 per cell]  2 Pt 2.54



What are the relative energies? In kJ/mol of atoms: (one) 6.3; (two) 0.0; (three) 35.9; (four) 23.1.



(one)
An optimized crystal structure of PtSe2BrCl. Source: Alexandria via LeMat-Bulk, functional PBE.

Summary:
The density of states at the Fermi level comes out at 7.2 states/eV/f.u. Its crystal system is tetragonal. The calculation puts the density at 6.1 g cm⁻³.

abc: 4.9608 4.9608 5.1989
angles: 90.00 90.00 90.00
Closest atoms and distances in Å follow each position.
Space group P4/mmm (No. 123)
Symmetry-distinct sites (fractional):
Pt: 0.0000 0.0000 0.0000 [1 per cell]  4 Se 2.48, 2 Br 2.60
Se: 0.0000 0.5000 0.0000 [2 per cell]  2 Pt 2.48
Br: 0.0000 0.0000 0.5000 [1 per cell]  2 Pt 2.60
Cl: 0.5000 0.5000 0.5000 [1 per cell]  4 Br 3.51, 8 Se 3.59



(two)
An optimized crystal structure of PtSe2BrCl. Source: Alexandria via LeMat-Bulk, functional PBE.

Summary:
The density of states at the Fermi level comes out at 8.1 states/eV/f.u. Its crystal system is tetragonal. The calculation puts the density at 6.2 g cm⁻³.

abc: 5.0143 5.0143 5.0061
angles: 90.00 90.00 90.00
Closest atoms and distances in Å follow each position.
Space group P4/mmm (No. 123)
Symmetry-distinct sites (fractional):
Pt: 0.0000 0.0000 0.0000 [1 per cell]  8 Se 3.54, 4 Br 3.55
Se: 0.0000 0.5000 0.5000 [2 per cell]  2 Cl 2.51
Br: 0.5000 0.5000 0.0000 [1 per cell]  2 Cl 2.50
Cl: 0.5000 0.5000 0.5000 [1 per cell]  2 Br 2.50, 4 Se 2.51



What are the relative energies? In kJ/mol of atoms: (one) 0.0; (two) 88.1.



(one)
An optimized crystal structure of PuBr2Cl. Source: Alexandria via LeMat-Bulk, functional PBE.

Summary:
The density of states at the Fermi level comes out at 11.6 states/eV/f.u. Its crystal system is triclinic. The calculation puts the density at 4.2 g cm⁻³.

abc: 4.2709 5.4065 7.8670
angles: 88.88 74.30 90.00
Closest atoms and distances in Å follow each position.
Space group P1 (No. 1)
Symmetry-distinct sites (fractional):
Pu: 0.0000 0.0000 0.0000 [1 per cell]  2 Cl 2.70, 4 Br 2.88
Br: 0.3728 0.9927 0.2550 [1 per cell]  2 Pu 2.88
Br: 0.6269 0.0072 0.7450 [1 per cell]  2 Pu 2.88
Cl: 0.9979 0.5000 0.0000 [1 per cell]  2 Pu 2.70



(two)
An optimized crystal structure of PuBr2Cl. Source: Alexandria via LeMat-Bulk, functional PBE.

Summary:
The density of states at the Fermi level comes out at 13.2 states/eV/f.u. Its crystal system is orthorhombic. The calculation puts the density at 5.2 g cm⁻³.

abc: 3.8228 10.6007 6.9636
angles: 90.00 90.00 90.00
Closest atoms and distances in Å follow each position.
Space group Imm2 (No. 44)
Symmetry-distinct sites (fractional):
Pu: 0.0000 0.0000 0.0000 [2 per cell]  2 Cl 2.72, 4 Br 2.91
Br: 0.0000 0.3277 0.6741 [4 per cell]  2 Pu 2.91
Cl: 0.0000 0.5000 0.2215 [2 per cell]  2 Pu 2.72



What are the relative energies? In kJ/mol of atoms: (one) 0.0; (two) 5.8.